Entry from the Alexandria database: Sr2LiIr2 after structural relaxation (PBE-GGA).

Geometry as extended XYZ:
```
10
Lattice="7.2491 0.0000 0.0000 0.0000 7.2491 0.0000 0.0000 0.0000 4.6330" Properties=species:S:1:pos:R:3 pbc="T T T"
Sr 1.2697 2.3549 0.0000
Sr 2.3549 5.9794 0.0000
Sr 4.8942 1.2697 0.0000
Sr 5.9794 4.8942 0.0000
Li 0.0000 0.0000 2.3165
Li 3.6245 3.6245 2.3165
Ir 0.8776 4.5022 2.3165
Ir 2.7469 0.8776 2.3165
Ir 4.5022 6.3715 2.3165
Ir 6.3715 2.7469 2.3165
```

Symmetry: No. 127
Energy above the lowest structure with this stoichiometry in kJ/mol of atoms: 27.9
Electronic total energy in eV/atom: -4.5729



Entry from the Alexandria database: SrLi2Ir after structural relaxation (PBE-GGA).

Geometry as extended XYZ:
```
4
Lattice="4.1483 -2.0252 0.0000 4.1483 2.0252 0.0000 -1.8123 0.0000 4.8670" Properties=species:S:1:pos:R:3 pbc="T T T"
Sr 0.0000 0.0000 0.0000
Li 0.5879 0.0000 3.0025
Li 5.8964 0.0000 1.8645
Ir 3.2422 0.0000 2.4335
```

Symmetry: No. 12
Energy above the lowest structure with this stoichiometry in kJ/mol of atoms: 4.2
Electronic total energy in eV/atom: -3.5873



no.,formation energy from the elements (meV/atom)
1,27
2,5